<one>
NaFeSeBr2: optimized geometry, PBE.

Structure (extended XYZ):
```
5
Lattice="5.219 0.000 0.000 0.000 5.219 0.000 0.000 0.000 5.398" Properties=species:S:1:pos:R:3 pbc="T T T"
Na 0.000 0.000 0.000
Fe 2.609 2.609 2.699
Br 2.609 0.000 0.000
Br 0.000 2.609 0.000
Se 0.000 0.000 2.699
```

Magnetic moment ... 5.07 μB per cell
Theoretical density ... 3.6 Mg/m³

=====

<two>
NaFeSeBr2: optimized geometry, PBE.

Structure (extended XYZ):
```
5
Lattice="5.314 0.000 0.000 0.000 5.314 0.000 0.000 0.000 4.738" Properties=species:S:1:pos:R:3 pbc="T T T"
Se 0.000 0.000 2.369
Na 2.657 2.657 2.369
Br 2.657 0.000 0.000
Br 0.000 2.657 0.000
Fe 0.000 0.000 0.000
```

Magnetic moment ... 4.18 μB per cell
Theoretical density ... 3.9 Mg/m³

=====

The most stable of them is <two>.

=====

<one>
NbFe2Br2: optimized geometry, PBE.

Structure (extended XYZ):
```
10
Lattice="6.446 0.000 0.000 0.000 6.446 0.000 0.000 0.000 4.621" Properties=species:S:1:pos:R:3 pbc="T T T"
Fe 0.818 2.405 0.000
Fe 4.041 0.818 0.000
Fe 2.405 5.628 0.000
Fe 5.628 4.041 0.000
Nb 3.223 3.223 0.000
Nb 0.000 0.000 0.000
Br 1.281 1.942 2.311
Br 5.165 4.504 2.311
Br 1.942 5.165 2.311
Br 4.504 1.281 2.311
```

Magnetic moment ... 4.30 μB per cell
Theoretical density ... 6.3 Mg/m³

=====

<two>
NbFe2Br2: optimized geometry, PBE.

Structure (extended XYZ):
```
5
Lattice="-0.752 -2.640 2.958 3.922 -0.935 0.162 2.337 1.988 5.120" Properties=species:S:1:pos:R:3 pbc="T T T"
Fe 1.739 -1.014 2.290
Fe 3.768 -0.573 5.951
Br 1.585 -1.219 4.819
Br 3.922 -0.367 3.421
Nb 0.000 0.000 0.000
```

Magnetic moment ... 0.94 μB per cell
Theoretical density ... 7.1 Mg/m³

=====

The most stable of them is <one>.

=====

<one>
NbFe2Br: optimized geometry, PBE.

Structure (extended XYZ):
```
4
Lattice="0.000 3.120 3.120 3.120 0.000 3.120 3.120 3.120 0.000" Properties=species:S:1:pos:R:3 pbc="T T T"
Nb 3.120 3.120 3.120
Fe 4.680 4.680 4.680
Fe 1.560 1.560 1.560
Br 0.000 0.000 0.000
```

Magnetic moment ... 2.73 μB per cell
Theoretical density ... 7.8 Mg/m³

=====

<two>
NbFe2Br: optimized geometry, PBE.

Structure (extended XYZ):
```
8
Lattice="6.700 0.000 0.000 0.000 6.700 0.000 3.350 3.350 2.665" Properties=species:S:1:pos:R:3 pbc="T T T"
Fe 8.375 8.255 1.998
Fe 4.905 1.675 0.666
Fe 5.025 5.145 1.998
Fe 1.795 5.025 0.666
Nb 6.700 3.350 1.332
Nb 0.000 0.000 0.000
Br 3.350 6.700 1.332
Br 3.350 3.350 0.000
```

Magnetic moment ... 0.00 μB per cell
Theoretical density ... 7.9 Mg/m³

=====

The most stable of them is <one>.

=====

<one>
FeNiBr: optimized geometry, PBE.

Structure (extended XYZ):
```
3
Lattice="-3.131 -1.106 2.414 -1.887 -3.596 -0.603 0.474 -3.047 2.710" Properties=species:S:1:pos:R:3 pbc="T T T"
Ni 0.000 0.000 0.000
Fe -3.407 -5.811 3.391
Br -2.272 -3.874 2.260
```

Magnetic moment ... 3.24 μB per cell
Theoretical density ... 6.6 Mg/m³

=====

<two>
FeNiBr: optimized geometry, PBE.

Structure (extended XYZ):
```
3
Lattice="5.610 0.107 -0.081 4.653 2.985 0.329 0.957 -0.377 2.883" Properties=species:S:1:pos:R:3 pbc="T T T"
Ni 3.849 0.701 2.064
Br 1.014 -0.356 2.867
Fe 7.313 1.993 1.083
```

Magnetic moment ... 3.84 μB per cell
Theoretical density ... 6.7 Mg/m³

=====

The most stable of them is <two>.

=====

<one>
FeNiBr2: optimized geometry, PBE.

Structure (extended XYZ):
```
4
Lattice="-1.809 -2.837 -1.112 1.870 -0.943 2.858 -5.734 1.935 4.390" Properties=species:S:1:pos:R:3 pbc="T T T"
Ni -3.974 -0.539 3.940
Br -1.999 -1.205 2.428
Br -5.092 1.718 3.899
Fe -3.207 1.082 2.455
```

Magnetic moment ... 4.00 μB per cell
Theoretical density ... 5.1 Mg/m³

=====

<two>
FeNiBr2: optimized geometry, PBE.

Structure (extended XYZ):
```
4
Lattice="3.576 -0.083 -0.501 1.831 3.073 -0.501 -0.709 -0.392 7.894" Properties=species:S:1:pos:R:3 pbc="T T T"
Fe 3.524 1.949 5.169
Br 1.504 0.832 3.962
Br 0.136 0.075 7.378
Ni 1.175 0.650 1.723
```

Magnetic moment ... 4.00 μB per cell
Theoretical density ... 5.3 Mg/m³

=====

The most stable of them is <one>.

=====

<one>
FeNiBr2: optimized geometry, PBE.

Structure (extended XYZ):
```
4
Lattice="5.378 -0.035 0.033 -0.197 5.375 -0.033 -0.875 -4.335 3.061" Properties=species:S:1:pos:R:3 pbc="T T T"
Br 2.550 2.628 0.000
Br 0.040 0.042 0.000
Ni 0.760 1.855 1.514
Fe 3.547 -0.850 1.547
```

Magnetic moment ... 2.72 μB per cell
Theoretical density ... 5.2 Mg/m³

=====

<two>
FeNiBr2: optimized geometry, PBE.

Structure (extended XYZ):
```
4
Lattice="4.757 0.000 0.000 2.378 4.119 0.000 2.378 1.373 3.884" Properties=species:S:1:pos:R:3 pbc="T T T"
Fe 4.757 2.746 1.942
Br 0.000 0.000 0.000
Br 2.378 1.373 0.971
Ni 7.135 4.119 2.913
```

Magnetic moment ... 4.15 μB per cell
Theoretical density ... 6.0 Mg/m³

=====

<three>
FeNiBr2: optimized geometry, PBE.

Structure (extended XYZ):
```
4
Lattice="3.371 0.000 0.000 0.000 6.459 0.000 0.000 0.000 3.745" Properties=species:S:1:pos:R:3 pbc="T T T"
Fe 1.685 0.000 1.872
Br 1.685 3.229 0.000
Br 0.000 0.000 0.000
Ni 0.000 3.229 1.872
```

Magnetic moment ... 3.51 μB per cell
Theoretical density ... 5.6 Mg/m³

=====

<four>
FeNiBr2: optimized geometry, PBE.

Structure (extended XYZ):
```
4
Lattice="-0.837 6.917 -3.231 -5.072 5.700 -0.877 3.895 -5.205 4.089" Properties=species:S:1:pos:R:3 pbc="T T T"
Ni -2.412 4.139 0.339
Br -0.013 0.028 -0.009
Br -0.063 4.254 -0.678
Fe -2.482 5.298 -1.725
```

Magnetic moment ... 3.99 μB per cell
Theoretical density ... 5.0 Mg/m³

=====

The most stable of them is <four>.